# TaVGeO6, optimized geometry, DFT GGA+U
# Crystal system ... trigonal
# Symmetry ... P-31c, No. 163
# Fermi-level density of states ... 0.000 states/eV per atom
# Total magnetic moment ... 2.00 μB/f.u.
# Raw total energy ... -8.100 eV/atom
data_TaVGeO6
_cell_length_a 5.053
_cell_length_b 5.053
_cell_length_c 8.933
_cell_angle_alpha 90.00
_cell_angle_beta 90.00
_cell_angle_gamma 120.00
_space_group_name_H-M_alt 'P 1'
_space_group_IT_number 1
loop_
_space_group_symop_operation_xyz
'x,y,z'
loop_
_atom_site_label
_atom_site_type_symbol
_atom_site_fract_x
_atom_site_fract_y
_atom_site_fract_z
Ta1 Ta 0.333 0.667 0.250
Ta2 Ta 0.667 0.333 0.750
V1 V 0.000 0.000 0.000
V2 V 0.000 0.000 0.500
Ge1 Ge 0.667 0.333 0.250
Ge2 Ge 0.333 0.667 0.750
O1 O 0.662 0.651 0.132
O2 O 0.989 0.338 0.132
O3 O 0.338 0.989 0.632
O4 O 0.011 0.662 0.868
O5 O 0.349 0.338 0.368
O6 O 0.989 0.651 0.368
O7 O 0.651 0.989 0.868
O8 O 0.662 0.011 0.368
O9 O 0.011 0.349 0.632
O10 O 0.349 0.011 0.132
O11 O 0.651 0.662 0.632
O12 O 0.338 0.349 0.868

***

# TaVGe2O8, optimized geometry, DFT GGA+U
# Crystal system ... tetragonal
# Symmetry ... I-4m2, No. 119
# Fermi-level density of states ... 0.517 states/eV per atom
# Total magnetic moment ... 2.00 μB/f.u.
# Raw total energy ... -7.597 eV/atom
data_TaVGe2O8
_cell_length_a 5.605
_cell_length_b 5.605
_cell_length_c 5.605
_cell_angle_alpha 108.24
_cell_angle_beta 108.24
_cell_angle_gamma 111.97
_space_group_name_H-M_alt 'P 1'
_space_group_IT_number 1
loop_
_space_group_symop_operation_xyz
'x,y,z'
loop_
_atom_site_label
_atom_site_type_symbol
_atom_site_fract_x
_atom_site_fract_y
_atom_site_fract_z
Ta1 Ta 0.250 0.750 0.500
V1 V 0.000 0.000 0.000
Ge1 Ge 0.750 0.250 0.500
Ge2 Ge 0.500 0.500 0.000
O1 O 0.359 0.044 0.315
O2 O 0.308 0.501 0.194
O3 O 0.308 0.114 0.806
O4 O 0.729 0.044 0.685
O5 O 0.886 0.692 0.194
O6 O 0.956 0.271 0.315
O7 O 0.956 0.641 0.685
O8 O 0.499 0.692 0.806